Computed, not measured: a relaxed AlCrPb2 crystal at the PBE level of DFT.

**Energy of formation from the pure elements**: 411 meV per atom
**Total moment**: 3.60 μB/cell

a = 10.6787 Å, b = 10.6787 Å, c = 10.6787 Å
α = 17.48°, β = 17.48°, γ = 17.48°
Atoms (fractional coordinates):
Pb: 0.0143 0.0143 0.0143
Pb: 0.2402 0.2402 0.2402
Cr: 0.7588 0.7588 0.7588
Al: 0.4866 0.4866 0.4866

***

Computed, not measured: a relaxed AlCr2Pb crystal at the PBE level of DFT.

**Energy of formation from the pure elements**: 550 meV per atom
**Total moment**: 6.59 μB/cell

a = 9.1087 Å, b = 9.1087 Å, c = 9.1087 Å
α = 19.63°, β = 19.63°, γ = 19.63°
Atoms (fractional coordinates):
Pb: 0.2500 0.2500 0.2500
Cr: 0.0097 0.0097 0.0097
Cr: 0.4903 0.4903 0.4903
Al: 0.7500 0.7500 0.7500

***

Computed, not measured: a relaxed AlCrPb2 crystal at the PBE level of DFT.

**Energy of formation from the pure elements**: 451 meV per atom
**Total moment**: 4.10 μB/cell

a = 5.4630 Å, b = 5.4630 Å, c = 5.4630 Å
α = 129.35°, β = 129.35°, γ = 74.45°
Atoms (fractional coordinates):
Pb: 0.0000 0.0000 0.0000
Pb: 0.5000 0.5000 0.0000
Cr: 0.7500 0.2500 0.5000
Al: 0.2500 0.7500 0.5000

***

Computed, not measured: a relaxed AlCr2Pb crystal at the PBE level of DFT.

**Energy of formation from the pure elements**: 489 meV per atom
**Total moment**: 6.25 μB/cell

a = 4.2559 Å, b = 4.2571 Å, c = 3.8610 Å
α = 90.00°, β = 90.00°, γ = 90.00°
Atoms (fractional coordinates):
Pb: 0.5000 0.0000 0.5000
Cr: 0.0000 0.0000 0.0000
Cr: 0.5000 0.5000 0.0000
Al: 0.0000 0.5000 0.5000

***

Computed, not measured: a relaxed AlCrPb2 crystal at the PBE level of DFT.

**Energy of formation from the pure elements**: 459 meV per atom
**Total moment**: 4.21 μB/cell

a = 3.6515 Å, b = 3.7738 Å, c = 6.8972 Å
α = 90.00°, β = 90.00°, γ = 90.00°
Atoms (fractional coordinates):
Pb: 0.0000 0.0000 0.9959
Pb: 0.0000 0.0000 0.5041
Cr: 0.5000 0.5000 0.7500
Al: 0.5000 0.5000 0.2500

***

Computed, not measured: a relaxed AlCrPb2 crystal at the PBE level of DFT.

**Energy of formation from the pure elements**: 414 meV per atom
**Total moment**: 3.83 μB/cell

a = 6.2269 Å, b = 6.2269 Å, c = 6.2269 Å
α = 148.83°, β = 130.42°, γ = 59.74°
Atoms (fractional coordinates):
Pb: 0.0245 0.0245 0.0000
Pb: 0.7344 0.2344 0.5000
Cr: 0.2720 0.7720 0.5000
Al: 0.4690 0.4690 0.0000

***

Computed, not measured: a relaxed AlCr2Pb crystal at the PBE level of DFT.

**Energy of formation from the pure elements**: 518 meV per atom
**Total moment**: 5.79 μB/cell

a = 5.3351 Å, b = 5.3351 Å, c = 5.3351 Å
α = 137.02°, β = 137.02°, γ = 62.41°
Atoms (fractional coordinates):
Pb: 0.5000 0.5000 0.0000
Cr: 0.0000 0.0000 0.0000
Cr: 0.2500 0.7500 0.5000
Al: 0.7500 0.2500 0.5000

***

Computed, not measured: a relaxed AlCrPb2 crystal at the PBE level of DFT.

**Energy of formation from the pure elements**: 285 meV per atom
**Total moment**: 3.24 μB/cell

a = 3.3156 Å, b = 3.3156 Å, c = 8.4073 Å
α = 90.00°, β = 90.00°, γ = 90.00°
Atoms (fractional coordinates):
Pb: 0.0000 0.0000 0.9427
Pb: 0.5000 0.5000 0.2938
Cr: 0.5000 0.5000 0.7071
Al: 0.0000 0.0000 0.5564